Entry 1:
## CsK2TlAg (PBE-GGA)

Data for a relaxed structure of CsK2TlAg.

Properties
Space-group type   P4/mmm
DFT formation energy   0.5 eV per formula unit
E   -1.56 eV per atom
Crystal system   tetragonal
ΔE to the lowest computed polymorph   47.2 meV/atom

Cell: 6.921 6.921 5.529 Å, 90.00 90.00 90.00°
Fractional coordinates of all 5 atoms:
Cs 0.000 0.000 0.000
K 0.000 0.500 0.500
K 0.500 0.000 0.500
Tl 0.500 0.500 0.500
Ag 0.500 0.500 0.000


Entry 2:
## PmEuZn2 (PBE-GGA)

Data for a relaxed structure of PmEuZn2.

Properties
Space-group type   P4/mmm
DFT formation energy   -1.2 eV per formula unit
E   -4.68 eV per atom
Crystal system   tetragonal

Cell: 5.220 5.220 3.718 Å, 90.00 90.00 90.00°
Fractional coordinates of all 4 atoms:
Pm 0.000 0.000 0.000
Eu 0.500 0.500 0.000
Zn 0.000 0.500 0.500
Zn 0.500 0.000 0.500


Entry 3:
## Er8Sn2Hg3 (PBE-GGA)

Data for a relaxed structure of Er8Sn2Hg3.

Properties
Space-group type   C2/m
DFT formation energy   -2.8 eV per formula unit
E   -3.71 eV per atom
Crystal system   monoclinic

Cell: 9.696 9.696 6.069 Å, 104.25 104.25 45.73°
Fractional coordinates of all 13 atoms:
Er 0.097 0.097 0.475
Er 0.128 0.628 0.002
Er 0.306 0.306 0.411
Er 0.372 0.872 0.998
Er 0.628 0.128 0.002
Er 0.694 0.694 0.589
Er 0.872 0.372 0.998
Er 0.903 0.903 0.525
Sn 0.242 0.242 0.853
Sn 0.758 0.758 0.147
Hg 0.000 0.000 0.000
Hg 0.316 0.684 0.500
Hg 0.684 0.316 0.500


Entry 4:
## TaSb2RhI (PBE-GGA)

Data for a relaxed structure of TaSb2RhI.

Properties
Space-group type   P4/mmm
E   -4.72 eV per atom
Raw formation energy   1.0812 eV/atom
Crystal system   tetragonal
ΔE to the lowest computed polymorph   22.0 meV/atom

Cell: 5.076 5.076 5.211 Å, 90.00 90.00 90.00°
Fractional coordinates of all 5 atoms:
Ta 0.000 0.000 0.000
Sb 0.000 0.500 0.500
Sb 0.500 0.000 0.500
Rh 0.500 0.500 0.500
I 0.500 0.500 0.000


Entry 5:
## Cs3Tm2CrTe6 (PBE-GGA)

Data for a relaxed structure of Cs3Tm2CrTe6.

Properties
Space-group type   C2/m
E   -4.38 eV per atom
Raw formation energy   -1.0477 eV/atom
Crystal system   monoclinic

Cell: 7.652 7.652 9.203 Å, 98.01 98.01 120.02°
Fractional coordinates of all 12 atoms:
Cs 0.000 0.000 0.000
Cs 0.326 0.674 0.000
Cs 0.674 0.326 0.000
Tm 0.166 0.834 0.500
Tm 0.834 0.166 0.500
Cr 0.500 0.500 0.500
Te 0.129 0.441 0.321
Te 0.250 0.250 0.682
Te 0.441 0.129 0.321
Te 0.559 0.871 0.679
Te 0.750 0.750 0.318
Te 0.871 0.559 0.679


Entry 6:
## Nd3BPt2Rh3 (PBE-GGA)

Data for a relaxed structure of Nd3BPt2Rh3.

Properties
Space-group type   P-62m
DFT formation energy   -6.7 eV per formula unit
E   -6.87 eV per atom
Crystal system   hexagonal

Cell: 7.451 7.451 3.572 Å, 90.00 90.00 120.00°
Fractional coordinates of all 9 atoms:
Nd 0.000 0.381 0.000
Nd 0.381 0.000 0.000
Nd 0.619 0.619 0.000
B 0.000 0.000 0.000
Pt 0.333 0.667 0.500
Pt 0.667 0.333 0.500
Rh 0.000 0.789 0.500
Rh 0.211 0.211 0.500
Rh 0.789 0.000 0.500


Entry 7:
## Cs3TlW2S8 (PBE-GGA)

Data for a relaxed structure of Cs3TlW2S8.

Properties
Space-group type   P-3m1
E   -5.44 eV per atom
Raw formation energy   -0.8824 eV/atom
Crystal system   trigonal

Cell: 7.556 7.556 10.250 Å, 90.00 90.00 120.00°
Fractional coordinates of all 14 atoms:
Cs 0.000 0.000 0.000
Cs 0.333 0.667 0.658
Cs 0.667 0.333 0.342
Tl 0.000 0.000 0.500
W 0.333 0.667 0.220
W 0.667 0.333 0.780
S 0.174 0.347 0.292
S 0.174 0.826 0.292
S 0.333 0.667 0.007
S 0.347 0.174 0.708
S 0.653 0.826 0.292
S 0.667 0.333 0.993
S 0.826 0.174 0.708
S 0.826 0.653 0.708


Entry 8:
## Ag2PtBr (PBE-GGA)

Data for a relaxed structure of Ag2PtBr.

Properties
Space-group type   Pmm2
E   -3.09 eV per atom
Raw formation energy   0.2661 eV/atom
Crystal system   orthorhombic
ΔE to the lowest computed polymorph   133.6 meV/atom

Cell: 3.211 3.727 6.503 Å, 90.00 90.00 90.00°
Fractional coordinates of all 4 atoms:
Ag 0.000 0.000 0.000
Ag 0.500 0.500 0.242
Pt 0.500 0.500 0.800
Br 0.000 0.000 0.513


Entry 9:
## Li2Zn2Ge (PBE-GGA)

Data for a relaxed structure of Li2Zn2Ge.

Properties
Space-group type   P4/mbm
DFT formation energy   -0.6 eV per formula unit
E   -2.32 eV per atom
Crystal system   tetragonal
ΔE to the lowest computed polymorph   69.6 meV/atom

Cell: 6.694 6.694 3.669 Å, 90.00 90.00 90.00°
Fractional coordinates of all 10 atoms:
Li 0.166 0.334 0.000
Li 0.334 0.834 0.000
Li 0.666 0.166 0.000
Li 0.834 0.666 0.000
Zn 0.131 0.631 0.500
Zn 0.369 0.131 0.500
Zn 0.631 0.869 0.500
Zn 0.869 0.369 0.500
Ge 0.000 0.000 0.500
Ge 0.500 0.500 0.500


Entry 10:
## PmNdTaN3 (PBE-GGA)

Data for a relaxed structure of PmNdTaN3.

Properties
Space-group type   P2_1/m
E   -9.04 eV per atom
Raw formation energy   -1.3143 eV/atom
Crystal system   monoclinic

Cell: 5.902 3.454 8.873 Å, 90.00 102.62 90.00°
Fractional coordinates of all 12 atoms:
Pm 0.153 0.250 0.184
Pm 0.847 0.750 0.816
Nd 0.268 0.750 0.545
Nd 0.732 0.250 0.455
Ta 0.362 0.250 0.863
Ta 0.638 0.750 0.137
N 0.068 0.250 0.693
N 0.270 0.750 0.977
N 0.452 0.750 0.312
N 0.548 0.250 0.688
N 0.730 0.250 0.023
N 0.932 0.750 0.307


Entry 11:
## ZnNiRh (PBE-GGA)

Data for a relaxed structure of ZnNiRh.

Properties
Space-group type   Cm
DFT formation energy   -0.4 eV per formula unit
E   -4.95 eV per atom
Crystal system   monoclinic
ΔE to the lowest computed polymorph   23.1 meV/atom

Cell: 4.551 4.551 5.248 Å, 106.12 106.12 48.87°
Fractional coordinates of all 6 atoms:
Zn 0.000 0.000 0.000
Zn 0.666 0.666 0.821
Ni 0.338 0.338 0.175
Ni 0.996 0.996 0.487
Rh 0.337 0.337 0.665
Rh 0.665 0.665 0.319


Entry 12:
## MnVHRu2 (PBE-GGA)

Data for a relaxed structure of MnVHRu2.

Properties
Space-group type   P4/mmm
E   -8.11 eV per atom
Crystal system   tetragonal
ΔE to the lowest computed polymorph   0.0 meV/atom

Cell: 3.898 3.898 3.666 Å, 90.00 90.00 90.00°
Fractional coordinates of all 5 atoms:
Mn 0.000 0.000 0.000
V 0.500 0.500 0.000
H 0.000 0.000 0.500
Ru 0.000 0.500 0.500
Ru 0.500 0.000 0.500


Question: The highest E belongs to which entry?
Answer: CsK2TlAg


Question: The lowest E belongs to which entry?
Answer: PmNdTaN3


Question: Among the records above, which one has the highest E?
Answer: CsK2TlAg


What did the fourth record say?
## TaSb2RhI (PBE-GGA)

Data for a relaxed structure of TaSb2RhI.

Properties
Space-group type   P4/mmm
E   -4.72 eV per atom
Raw formation energy   1.0812 eV/atom
Crystal system   tetragonal
ΔE to the lowest computed polymorph   22.0 meV/atom

Cell: 5.076 5.076 5.211 Å, 90.00 90.00 90.00°
Fractional coordinates of all 5 atoms:
Ta 0.000 0.000 0.000
Sb 0.000 0.500 0.500
Sb 0.500 0.000 0.500
Rh 0.500 0.500 0.500
I 0.500 0.500 0.000